# PBE with a Hubbard U NaFePbF6, optimized geometry
# Total moment in Bohr magnetons per cell: 2.00
# Total DFT energy (no corrections) in eV/cell: -85.165
data_NaFePbF6
_chemical_formula_sum 'Na2 Fe2 Pb2 F12'
_symmetry_space_group_name_H-M 'P -3 1 c'
_symmetry_Int_Tables_number 163
_symmetry_space_group_name_Hall '-P 3 2c'
_cell_length_a 5.6141
_cell_length_b 5.6141
_cell_length_c 10.0654
_cell_angle_alpha 90.00
_cell_angle_beta 90.00
_cell_angle_gamma 120.00
loop_
_atom_site_label
_atom_site_type_symbol
_atom_site_fract_x
_atom_site_fract_y
_atom_site_fract_z
_atom_site_occupancy
Na1 Na 0.3333 0.6667 0.2500 1
Fe1 Fe 0.3333 0.6667 0.7500 1
Pb1 Pb 0.0000 0.0000 0.0000 1
F1 F 0.0505 0.3863 0.6425 1



# PBE with a Hubbard U Na2FePdF6, optimized geometry
# Total moment in Bohr magnetons per cell: 6.00
# Total DFT energy (no corrections) in eV/cell: -46.358
data_Na2FePdF6
_chemical_formula_sum 'Na2 Fe1 Pd1 F6'
_symmetry_space_group_name_H-M 'P 1'
_symmetry_Int_Tables_number 1
_cell_length_a 5.6491
_cell_length_b 5.6642
_cell_length_c 5.9045
_cell_angle_alpha 90.42
_cell_angle_beta 118.40
_cell_angle_gamma 119.56
loop_
_symmetry_equiv_pos_as_xyz
'x,y,z'
loop_
_atom_site_label
_atom_site_type_symbol
_atom_site_fract_x
_atom_site_fract_y
_atom_site_fract_z
_atom_site_occupancy
Na1 Na 0.0000 0.0000 0.0000 1
Na2 Na 0.0026 0.4980 0.5043 1
Fe1 Fe 0.5774 0.2881 0.8657 1
Pd1 Pd 0.5759 0.7872 0.3657 1
F1 F 0.0622 0.4137 0.1387 1
F2 F 0.0953 0.1616 0.6458 1
F3 F 0.4823 0.9307 0.6521 1
F4 F 0.4846 0.0728 0.1364 1
F5 F 0.7212 0.5527 0.6503 1
F6 F 0.7237 0.6467 0.1336 1



# PBE with a Hubbard U NaFePdF6, optimized geometry
# Total moment in Bohr magnetons per cell: 14.00
# Total DFT energy (no corrections) in eV/cell: -84.280
data_NaFePdF6
_chemical_formula_sum 'Na2 Fe2 Pd2 F12'
_symmetry_space_group_name_H-M 'P 42 n m'
_symmetry_Int_Tables_number 102
_cell_length_a 4.9932
_cell_length_b 4.9932
_cell_length_c 9.9007
_cell_angle_alpha 90.00
_cell_angle_beta 90.00
_cell_angle_gamma 90.00
loop_
_symmetry_equiv_pos_as_xyz
'x,y,z'
'-y+1/2,x+1/2,z+1/2'
'-x,-y,z'
'y+1/2,-x+1/2,z+1/2'
'-x+1/2,y+1/2,z+1/2'
'y,x,z'
'x+1/2,-y+1/2,z+1/2'
'-y,-x,z'
loop_
_atom_site_label
_atom_site_type_symbol
_atom_site_fract_x
_atom_site_fract_y
_atom_site_fract_z
_atom_site_occupancy
Na1 Na 0.0000 0.0000 0.0000 1
Fe1 Fe 0.0000 0.0000 0.3342 1
Pd1 Pd 0.0000 0.0000 0.6704 1
F1 F 0.1817 0.1817 0.4856 1
F2 F 0.1894 0.1894 0.1878 1
F3 F 0.2204 0.2204 0.8312 1



# PBE with a Hubbard U RbNaFeF6, optimized geometry
# Total moment in Bohr magnetons per cell: 4.00
# Total DFT energy (no corrections) in eV/cell: -79.260
data_RbNaFeF6
_chemical_formula_sum 'Rb2 Na2 Fe2 F12'
_symmetry_space_group_name_H-M 'P 42 n m'
_symmetry_Int_Tables_number 102
_cell_length_a 5.4015
_cell_length_b 5.4015
_cell_length_c 10.6582
_cell_angle_alpha 90.00
_cell_angle_beta 90.00
_cell_angle_gamma 90.00
loop_
_symmetry_equiv_pos_as_xyz
'x,y,z'
'-y+1/2,x+1/2,z+1/2'
'-x,-y,z'
'y+1/2,-x+1/2,z+1/2'
'-x+1/2,y+1/2,z+1/2'
'y,x,z'
'x+1/2,-y+1/2,z+1/2'
'-y,-x,z'
loop_
_atom_site_label
_atom_site_type_symbol
_atom_site_fract_x
_atom_site_fract_y
_atom_site_fract_z
_atom_site_occupancy
Rb1 Rb 0.0000 0.0000 0.0000 1
Na1 Na 0.0000 0.0000 0.6672 1
Fe1 Fe 0.0000 0.0000 0.3383 1
F1 F 0.1592 0.1592 0.4685 1
F2 F 0.1800 0.1800 0.2198 1
F3 F 0.2362 0.7638 0.3293 1



# PBE with a Hubbard U Rb2NaFeF6, optimized geometry
# Total moment in Bohr magnetons per cell: 19.97
# Total DFT energy (no corrections) in eV/cell: -190.764
data_Rb2NaFeF6
_chemical_formula_sum 'Rb8 Na4 Fe4 F24'
_symmetry_space_group_name_H-M 'F m -3 m'
_symmetry_Int_Tables_number 225
_symmetry_space_group_name_Hall '-F 4 2 3'
_cell_length_a 8.6023
_cell_length_b 8.6023
_cell_length_c 8.6023
_cell_angle_alpha 90.00
_cell_angle_beta 90.00
_cell_angle_gamma 90.00
loop_
_atom_site_label
_atom_site_type_symbol
_atom_site_fract_x
_atom_site_fract_y
_atom_site_fract_z
_atom_site_occupancy
Rb1 Rb 0.2500 0.2500 0.2500 1
Na1 Na 0.0000 0.0000 0.0000 1
Fe1 Fe 0.0000 0.0000 0.5000 1
F1 F 0.0000 0.0000 0.2711 1



# PBE with a Hubbard U RbNaFeF4, optimized geometry
# Total moment in Bohr magnetons per cell: 8.00
# Total DFT energy (no corrections) in eV/cell: -66.275
data_RbNaFeF4
_chemical_formula_sum 'Rb2 Na2 Fe2 F8'
_symmetry_space_group_name_H-M 'P 1 21/m 1'
_symmetry_Int_Tables_number 11
_cell_length_a 5.5192
_cell_length_b 6.1122
_cell_length_c 7.5804
_cell_angle_alpha 90.00
_cell_angle_beta 101.55
_cell_angle_gamma 90.00
loop_
_symmetry_equiv_pos_as_xyz
'x,y,z'
'-x,-y,-z'
'-x,y+1/2,-z'
'x,-y+1/2,z'
loop_
_atom_site_label
_atom_site_type_symbol
_atom_site_fract_x
_atom_site_fract_y
_atom_site_fract_z
_atom_site_occupancy
Rb1 Rb 0.1653 0.2500 0.1012 1
Na1 Na 0.1487 0.7500 0.5113 1
Fe1 Fe 0.3838 0.2500 0.6983 1
F1 F 0.1137 0.0252 0.7028 1
F2 F 0.3557 0.7500 0.0928 1
F3 F 0.4359 0.2500 0.4518 1



# PBE with a Hubbard U Rb3NaFe2F9, optimized geometry
# Total moment in Bohr magnetons per cell: 9.00
# Total DFT energy (no corrections) in eV/cell: -72.375
data_Rb3NaFe2F9
_chemical_formula_sum 'Rb3 Na1 Fe2 F9'
_symmetry_space_group_name_H-M 'P -3 m 1'
_symmetry_Int_Tables_number 164
_symmetry_space_group_name_Hall '-P 3 2"'
_cell_length_a 6.0434
_cell_length_b 6.0434
_cell_length_c 7.3808
_cell_angle_alpha 90.00
_cell_angle_beta 90.00
_cell_angle_gamma 120.00
loop_
_atom_site_label
_atom_site_type_symbol
_atom_site_fract_x
_atom_site_fract_y
_atom_site_fract_z
_atom_site_occupancy
Rb1 Rb 0.0000 0.0000 0.0000 1
Rb2 Rb 0.3333 0.6667 0.6534 1
Na1 Na 0.0000 0.0000 0.5000 1
Fe1 Fe 0.3333 0.6667 0.1613 1
F1 F 0.0000 0.5000 0.0000 1
F2 F 0.1763 0.3526 0.3113 1



# PBE with a Hubbard U RbNa2FeF6, optimized geometry
# Total moment in Bohr magnetons per cell: 4.00
# Total DFT energy (no corrections) in eV/cell: -167.392
data_RbNa2FeF6
_chemical_formula_sum 'Rb4 Na8 Fe4 F24'
_symmetry_space_group_name_H-M 'F m -3 m'
_symmetry_Int_Tables_number 225
_symmetry_space_group_name_Hall '-F 4 2 3'
_cell_length_a 8.8947
_cell_length_b 8.8947
_cell_length_c 8.8947
_cell_angle_alpha 90.00
_cell_angle_beta 90.00
_cell_angle_gamma 90.00
loop_
_atom_site_label
_atom_site_type_symbol
_atom_site_fract_x
_atom_site_fract_y
_atom_site_fract_z
_atom_site_occupancy
Rb1 Rb 0.0000 0.0000 0.0000 1
Na1 Na 0.2500 0.2500 0.2500 1
Fe1 Fe 0.0000 0.0000 0.5000 1
F1 F 0.0000 0.0000 0.2882 1



# PBE with a Hubbard U NaFeRhF6, optimized geometry
# Total moment in Bohr magnetons per cell: 12.04
# Total DFT energy (no corrections) in eV/cell: -87.821
data_NaFeRhF6
_chemical_formula_sum 'Na2 Fe2 Rh2 F12'
_symmetry_space_group_name_H-M 'P -3 1 c'
_symmetry_Int_Tables_number 163
_symmetry_space_group_name_Hall '-P 3 2c'
_cell_length_a 5.4184
_cell_length_b 5.4184
_cell_length_c 9.8713
_cell_angle_alpha 90.00
_cell_angle_beta 90.00
_cell_angle_gamma 120.00
loop_
_atom_site_label
_atom_site_type_symbol
_atom_site_fract_x
_atom_site_fract_y
_atom_site_fract_z
_atom_site_occupancy
Na1 Na 0.0000 0.0000 0.0000 1
Fe1 Fe 0.3333 0.6667 0.2500 1
Rh1 Rh 0.3333 0.6667 0.7500 1
F1 F 0.0275 0.3664 0.1390 1



# PBE with a Hubbard U NaScFeF6, optimized geometry
# Total moment in Bohr magnetons per cell: 8.00
# Total DFT energy (no corrections) in eV/cell: -104.241
data_NaScFeF6
_chemical_formula_sum 'Na2 Sc2 Fe2 F12'
_symmetry_space_group_name_H-M 'P -3 1 c'
_symmetry_Int_Tables_number 163
_symmetry_space_group_name_Hall '-P 3 2c'
_cell_length_a 5.4961
_cell_length_b 5.4961
_cell_length_c 9.7610
_cell_angle_alpha 90.00
_cell_angle_beta 90.00
_cell_angle_gamma 120.00
loop_
_atom_site_label
_atom_site_type_symbol
_atom_site_fract_x
_atom_site_fract_y
_atom_site_fract_z
_atom_site_occupancy
Na1 Na 0.0000 0.0000 0.0000 1
Sc1 Sc 0.3333 0.6667 0.2500 1
Fe1 Fe 0.3333 0.6667 0.7500 1
F1 F 0.0083 0.3625 0.1387 1



# PBE with a Hubbard U NaTmFeF6, optimized geometry
# Total moment in Bohr magnetons per cell: 8.00
# Total DFT energy (no corrections) in eV/cell: -101.674
data_NaTmFeF6
_chemical_formula_sum 'Na2 Tm2 Fe2 F12'
_symmetry_space_group_name_H-M 'P -3 1 c'
_symmetry_Int_Tables_number 163
_symmetry_space_group_name_Hall '-P 3 2c'
_cell_length_a 5.6541
_cell_length_b 5.6541
_cell_length_c 9.6591
_cell_angle_alpha 90.00
_cell_angle_beta 90.00
_cell_angle_gamma 120.00
loop_
_atom_site_label
_atom_site_type_symbol
_atom_site_fract_x
_atom_site_fract_y
_atom_site_fract_z
_atom_site_occupancy
Na1 Na 0.0000 0.0000 0.0000 1
Tm1 Tm 0.3333 0.6667 0.2500 1
Fe1 Fe 0.3333 0.6667 0.7500 1
F1 F 0.0067 0.3580 0.6362 1



# PBE with a Hubbard U Na2VFeF6, optimized geometry
# Total moment in Bohr magnetons per cell: 14.00
# Total DFT energy (no corrections) in eV/cell: -105.433
data_Na2VFeF6
_chemical_formula_sum 'Na4 V2 Fe2 F12'
_symmetry_space_group_name_H-M 'P m m n'
_symmetry_Int_Tables_number 59
_cell_length_a 5.7163
_cell_length_b 8.3560
_cell_length_c 5.9964
_cell_angle_alpha 90.00
_cell_angle_beta 90.00
_cell_angle_gamma 90.00
loop_
_symmetry_equiv_pos_as_xyz
'x,y,z'
'-x,-y,-z'
'-x+1/2,-y+1/2,z'
'x+1/2,y+1/2,-z'
'x+1/2,-y,-z'
'-x+1/2,y,z'
'-x,y+1/2,-z'
'x,-y+1/2,z'
loop_
_atom_site_label
_atom_site_type_symbol
_atom_site_fract_x
_atom_site_fract_y
_atom_site_fract_z
_atom_site_occupancy
Na1 Na 0.2500 0.0433 0.1957 1
V1 V 0.2500 0.2500 0.7411 1
Fe1 Fe 0.2500 0.7500 0.7516 1
F1 F 0.0076 0.2500 0.0058 1
F2 F 0.0108 0.2500 0.4783 1
F3 F 0.2500 0.0003 0.7835 1